Compound: RbTlReCl6
Source: the Alexandria database
Functional: PBE-GGA
Structure: optimized geometry

Properties
Size of the total moment (μB/f.u.): 3.00
Space group: No. 163
Density (g/cm³): 3.803
Energy relative to the elements, uncorrected (kJ/mol of atoms): -100

Geometry as CIF:
```
data_RbTlReCl6
_symmetry_space_group_name_H-M 'P 1'
_symmetry_Int_Tables_number 1
_cell_length_a 7.7654
_cell_length_b 7.7654
_cell_length_c 11.5173
_cell_angle_alpha 90.00
_cell_angle_beta 90.00
_cell_angle_gamma 120.00
loop_
_symmetry_equiv_pos_as_xyz
'x,y,z'
loop_
_atom_site_label
_atom_site_type_symbol
_atom_site_fract_x
_atom_site_fract_y
_atom_site_fract_z
Cl1 Cl 0.3289 0.4147 0.8701
Cl2 Cl 0.9141 0.3289 0.1299
Cl3 Cl 0.3289 0.9141 0.6299
Cl4 Cl 0.9141 0.5853 0.3701
Cl5 Cl 0.4147 0.0859 0.1299
Cl6 Cl 0.6711 0.0859 0.3701
Cl7 Cl 0.0859 0.4147 0.6299
Cl8 Cl 0.5853 0.9141 0.8701
Cl9 Cl 0.5853 0.6711 0.6299
Cl10 Cl 0.0859 0.6711 0.8701
Cl11 Cl 0.6711 0.5853 0.1299
Cl12 Cl 0.4147 0.3289 0.3701
Rb1 Rb 0.6667 0.3333 0.7500
Rb2 Rb 0.3333 0.6667 0.2500
Tl1 Tl 0.0000 0.0000 0.5000
Tl2 Tl 0.0000 0.0000 0.0000
Re1 Re 0.6667 0.3333 0.2500
Re2 Re 0.3333 0.6667 0.7500
```